No. 1
DFT (PBE-GGA) results for Dy5Co2B6 after structural relaxation.

Structure (POSCAR):
```
Dy5Co2B6
1.0
2.699 1.559 7.763
-2.699 1.559 7.763
0.000 -3.117 7.763
Dy Co B
5 2 6
direct
0.000 0.000 0.000 Dy
0.251 0.251 0.251 Dy
0.416 0.416 0.416 Dy
0.584 0.584 0.584 Dy
0.749 0.749 0.749 Dy
0.120 0.120 0.120 Co
0.880 0.880 0.880 Co
0.168 0.500 0.832 B
0.168 0.832 0.500 B
0.500 0.168 0.832 B
0.500 0.832 0.168 B
0.832 0.168 0.500 B
0.832 0.500 0.168 B
```

Uncorrected energy   -84.23 eV/f.u.
Calculated volume   196.0 Å³ per cell

No. 2
DFT (PBE-GGA) results for Hf3IrPd after structural relaxation.

Structure (POSCAR):
```
Hf3IrPd
1.0
4.977 0.000 0.000
0.000 4.977 0.000
0.000 0.000 4.977
Hf Ir Pd
3 1 1
direct
0.000 0.000 0.500 Hf
0.000 0.500 0.000 Hf
0.500 0.000 0.000 Hf
0.000 0.000 0.000 Ir
0.500 0.500 0.500 Pd
```

Uncorrected energy   -42.73 eV/f.u.
Calculated volume   123.3 Å³ per cell

No. 3
DFT (PBE-GGA) results for Mn2SiIrS after structural relaxation.

Structure (POSCAR):
```
Mn2SiIrS
1.0
2.933 0.000 0.000
0.000 3.267 0.000
0.000 0.000 14.523
Mn Si Ir S
4 2 2 2
direct
0.000 0.000 0.000 Mn
0.000 0.500 0.317 Mn
0.500 0.000 0.817 Mn
0.500 0.500 0.500 Mn
0.000 0.000 0.192 Si
0.500 0.500 0.692 Si
0.000 0.000 0.623 Ir
0.500 0.500 0.123 Ir
0.000 0.500 0.880 S
0.500 0.000 0.380 S
```

Uncorrected energy   -37.93 eV/f.u.
Calculated volume   139.1 Å³ per cell

No. 4
DFT (PBE-GGA) results for ErCu9Pd2 after structural relaxation.

Structure (POSCAR):
```
ErCu9Pd2
1.0
2.465 1.423 7.896
-2.465 1.423 7.896
0.000 -2.847 7.896
Er Cu Pd
1 9 2
direct
0.000 0.000 0.000 Er
0.081 0.589 0.589 Cu
0.334 0.334 0.334 Cu
0.411 0.411 0.919 Cu
0.411 0.919 0.411 Cu
0.500 0.500 0.500 Cu
0.589 0.081 0.589 Cu
0.589 0.589 0.081 Cu
0.666 0.666 0.666 Cu
0.919 0.411 0.411 Cu
0.145 0.145 0.145 Pd
0.855 0.855 0.855 Pd
```

Uncorrected energy   -53.78 eV/f.u.
Calculated volume   166.2 Å³ per cell

No. 5
DFT (PBE-GGA) results for LaPm3Nd4Se8 after structural relaxation.

Structure (POSCAR):
```
LaPm3Nd4Se8
1.0
4.229 2.442 6.912
-4.229 2.442 6.912
0.000 -4.883 6.912
La Pm Nd Se
1 3 4 8
direct
0.000 0.000 0.000 La
0.000 0.500 0.500 Pm
0.500 0.000 0.500 Pm
0.500 0.500 0.000 Pm
0.000 0.000 0.500 Nd
0.000 0.500 0.000 Nd
0.500 0.000 0.000 Nd
0.500 0.500 0.500 Nd
0.251 0.251 0.251 Se
0.251 0.251 0.747 Se
0.251 0.747 0.251 Se
0.253 0.749 0.749 Se
0.747 0.251 0.251 Se
0.749 0.253 0.749 Se
0.749 0.749 0.253 Se
0.749 0.749 0.749 Se
```

Uncorrected energy   -95.78 eV/f.u.
Calculated volume   428.2 Å³ per cell

No. 6
DFT (PBE-GGA) results for LiGePd after structural relaxation.

Structure (POSCAR):
```
LiGePd
1.0
4.161 0.000 0.000
0.000 4.161 0.000
0.000 0.000 5.830
Li Ge Pd
2 2 2
direct
0.000 0.000 0.000 Li
0.500 0.500 0.500 Li
0.000 0.500 0.750 Ge
0.500 0.000 0.250 Ge
0.000 0.000 0.500 Pd
0.500 0.500 0.000 Pd
```

Uncorrected energy   -12.75 eV/f.u.
Calculated volume   100.9 Å³ per cell

Question: Which of these has the lowest calculated volume?
Answer: LiGePd

Repeat the third record exactly.
DFT (PBE-GGA) results for Mn2SiIrS after structural relaxation.

Structure (POSCAR):
```
Mn2SiIrS
1.0
2.933 0.000 0.000
0.000 3.267 0.000
0.000 0.000 14.523
Mn Si Ir S
4 2 2 2
direct
0.000 0.000 0.000 Mn
0.000 0.500 0.317 Mn
0.500 0.000 0.817 Mn
0.500 0.500 0.500 Mn
0.000 0.000 0.192 Si
0.500 0.500 0.692 Si
0.000 0.000 0.623 Ir
0.500 0.500 0.123 Ir
0.000 0.500 0.880 S
0.500 0.000 0.380 S
```

Uncorrected energy   -37.93 eV/f.u.
Calculated volume   139.1 Å³ per cell

Question: Which of these has the highest uncorrected energy?
Answer: LiGePd